(1)
An optimized crystal structure of HfSbAsI2, computed with GGA-PBE.

The structure in POSCAR format:
```
HfSbAsI2
1.0
-3.2429 -2.5650 -3.7065
-3.5407 -1.3760 4.0501
-2.9314 4.9697 -0.8743
I Sb Hf As
2 1 1 1
Cartesian
-1.7704 -0.6880 2.0251
-1.6215 -1.2825 -1.8532
-1.4657 2.4848 -0.4371
0.0000 0.0000 0.0000
-4.8575 0.5144 -0.2653
```

DOS at the Fermi energy: 0.42 states/eV per atom
calculated density: 5.80 g cm⁻³
polymorph energy (0 for the lowest one): 0.00 eV/f.u.
space group: P4/mmm, No. 123
uncorrected formation energy: 0.343 eV/atom



(2)
An optimized crystal structure of BiTe6Br2, computed with GGA-PBE.

The structure in POSCAR format:
```
BiTe6Br2
1.0
4.3861 -0.7353 -0.5263
-1.4540 8.3101 -3.5927
-0.9267 0.8621 8.9449
Br Te Bi
2 6 1
Cartesian
1.2085 1.4700 7.0056
0.7969 6.9669 -2.1797
0.6354 2.7854 1.5861
3.0461 1.5430 3.2977
1.3700 5.6515 3.2398
-0.7884 4.7098 5.2315
-1.0407 6.8939 1.5283
2.7939 3.7271 -0.4056
0.0000 0.0000 0.0000
```

DOS at the Fermi energy: 0.30 states/eV per atom
calculated density: 5.81 g cm⁻³
space group: P-1, No. 2
uncorrected formation energy: -0.108 eV/atom



(3)
An optimized crystal structure of FePOs2, computed with GGA-PBE.

The structure in POSCAR format:
```
FePOs2
1.0
-3.1176 -3.6554 -1.9129
0.9831 -5.0193 0.7622
-0.9949 4.6522 2.0267
Os Fe P
2 1 1
Cartesian
-2.0437 -8.3057 -1.1018
-1.1581 -4.7063 -0.6243
-0.5395 -2.3522 1.1068
-2.5899 -1.6702 -0.2308
```

DOS at the Fermi energy: 0.73 states/eV per atom
energy: -9.022 eV per atom
calculated density: 14.47 g cm⁻³
space group: Immm, No. 71



(4)
An optimized crystal structure of HfNi2W2, computed with GGA-PBE.

The structure in POSCAR format:
```
HfNi2W2
1.0
-3.8531 -2.6543 5.7886
5.5717 -4.6814 1.5621
1.1225 1.8716 1.6053
Ni W Hf
4 4 2
Cartesian
-1.7221 -2.1997 3.7687
1.6648 -2.0996 1.2838
0.0539 -5.2361 6.0669
3.4408 -5.1360 3.5820
2.5543 -4.7174 6.0000
-0.8072 -2.7733 6.0838
0.2869 -0.7467 2.9561
3.6484 -2.6908 2.8723
0.0000 0.0000 0.0000
0.8593 -3.6679 3.6753
```

DOS at the Fermi energy: 0.97 states/eV per atom
energy: -9.367 eV per atom
calculated density: 14.68 g cm⁻³
space group: P4/mbm, No. 127



(5)
An optimized crystal structure of PmCd3Ag4, computed with GGA-PBE.

The structure in POSCAR format:
```
PmCd3Ag4
1.0
4.6644 0.0000 1.3769
2.1290 4.1502 1.3769
-0.0553 -0.0338 8.7764
Ag Cd Pm
4 3 1
Cartesian
4.1514 2.5362 3.1147
5.8962 3.6021 5.7931
2.5867 1.5803 8.4155
0.8419 0.5143 5.7371
1.6989 1.0379 2.8337
5.0392 3.0785 8.6965
3.3691 2.0582 5.7651
0.0000 0.0000 0.0000
```

DOS at the Fermi energy: 0.36 states/eV per atom
energy: -2.490 eV per atom
calculated density: 8.91 g cm⁻³
space group: R-3m, No. 166



(6)
An optimized crystal structure of NbSi2Se6, computed with GGA-PBE.

The structure in POSCAR format:
```
NbSi2Se6
1.0
-3.8119 -4.4580 2.8752
0.6443 -6.1489 -5.8066
6.0116 -4.3301 4.1294
Se Nb Si
12 2 4
Cartesian
3.1441 -12.2705 -0.4500
0.5040 -6.5577 2.0086
-0.3342 -10.9464 -1.0127
1.5291 -4.6272 -1.0595
5.8634 -9.7659 -0.3820
1.3149 -10.3098 2.2575
2.3400 -8.3793 -0.8107
-0.3001 -2.6665 1.6479
3.1782 -3.9906 2.2107
-1.3339 -7.1027 -1.1763
4.1779 -7.8343 2.3743
-3.0193 -5.1711 1.5799
-1.5266 -9.2593 -2.3764
4.3706 -5.6778 3.5744
-1.5978 -6.9865 1.1422
4.4418 -7.9505 0.0558
1.1232 -4.4813 1.2134
1.7208 -10.4557 -0.0155
```

DOS at the Fermi energy: 0.03 states/eV per atom
calculated density: 4.51 g cm⁻³
space group: C2/c, No. 15
uncorrected formation energy: -0.405 eV/atom